Compound: HoEr4Tl3
Source: Alexandria via LeMat-Bulk
Functional: PBE
Structure: relaxed

a b c (Å): 3.5636 8.7851 8.8017
angles (deg): 119.93 101.68 90.00
Fractional coordinates of all 8 atoms:
1 Er 0.6379 0.8363 0.2759
2 Tl 0.1853 0.1853 0.3707
3 Er 0.3620 0.5604 0.7239
4 Tl 0.8147 0.8147 0.6293
5 Ho 0.5000 0.0000 0.0000
6 Tl 0.0000 0.5000 0.0000
7 Er 0.6380 0.4396 0.2761
8 Er 0.3621 0.1637 0.7241

Computed properties:
formation energy from the elements: -0.116 eV per atom
final energy: -3.857 eV/atom
magnetic moment: 0.0003 μB per atom

---

Compound: Re2PtW
Source: Alexandria via LeMat-Bulk
Functional: PBE
Structure: relaxed

a b c (Å): 9.3584 9.3584 9.3584
angles (deg): 17.08 17.08 17.08
Fractional coordinates of all 4 atoms:
1 Pt 0.7500 0.7500 0.7500
2 W 0.2500 0.2500 0.2500
3 Re 0.5000 0.5000 0.5000
4 Re 0.0000 0.0000 0.0000

Computed properties:
energy relative to the lowest polymorph listed for this composition: 0.214 eV/atom
formation energy from the elements: 0.107 eV per atom
final energy: -10.865 eV/atom
magnetic moment: 0.0000 μB per atom

---

Compound: KInGe
Source: Alexandria via LeMat-Bulk
Functional: PBE
Structure: relaxed

a b c (Å): 6.3794 8.6026 3.5037
angles (deg): 78.26 105.92 108.37
Fractional coordinates of all 6 atoms:
1 In 0.2532 0.5185 0.3680
2 K 0.2987 0.1398 0.0795
3 Ge 0.1334 0.7539 0.6893
4 K 0.7013 0.8602 0.9205
5 Ge 0.8666 0.2461 0.3107
6 In 0.7468 0.4815 0.6320

Computed properties:
formation energy from the elements: -0.031 eV per atom
final energy: -2.849 eV/atom
magnetic moment: 0.0000 μB per atom

---

Compound: K2NiSe
Source: Alexandria via LeMat-Bulk
Functional: PBE
Structure: relaxed

a b c (Å): 4.3709 5.3206 5.8771
angles (deg): 63.09 90.00 90.00
Fractional coordinates of all 4 atoms:
1 K 0.5000 0.2791 0.3172
2 Ni 0.0000 0.6501 0.5744
3 Se 0.5000 0.5971 0.6812
4 K 0.0000 0.9737 0.9273

Computed properties:
final energy: -3.331 eV/atom
magnetic moment: 0.0000 μB per atom
energy relative to the elements, uncorrected: -0.466 eV per atom

---

Compound: Sc2CuTc
Source: Alexandria via LeMat-Bulk
Functional: PBE
Structure: relaxed

a b c (Å): 3.5283 3.5256 5.7246
angles (deg): 90.00 90.00 90.00
Fractional coordinates of all 4 atoms:
1 Sc 0.0000 0.0000 0.9575
2 Cu 0.5000 0.5000 0.7581
3 Tc 0.0000 0.0000 0.4843
4 Sc 0.5000 0.5000 0.3001

Computed properties:
formation energy from the elements: 0.012 eV per atom
final energy: -6.769 eV/atom
magnetic moment: 0.0000 μB per atom

---

Compound: MgTi2W
Source: Alexandria via LeMat-Bulk
Functional: PBE
Structure: relaxed

a b c (Å): 3.2565 3.2565 6.7329
angles (deg): 90.00 90.00 90.00
Fractional coordinates of all 4 atoms:
1 W 0.5000 0.5000 0.0000
2 Mg 0.5000 0.5000 0.5000
3 Ti 0.0000 0.0000 0.2130
4 Ti 0.0000 0.0000 0.7870

Computed properties:
formation energy from the elements: 0.034 eV per atom
final energy: -7.550 eV/atom
magnetic moment: 0.0000 μB per atom

---

Compound: CaTi2AgH
Source: Alexandria via LeMat-Bulk
Functional: PBE
Structure: relaxed

a b c (Å): 4.1091 5.0712 4.1091
angles (deg): 90.00 90.00 90.00
Each line ends with the local moment (μB).
Fractional coordinates of all 5 atoms:
1 H 0.0000 0.0000 0.0000  -0.01
2 Ti 0.0000 0.0000 0.5000  1.03
3 Ti 0.5000 0.0000 0.0000  1.29
4 Ag 0.5000 0.5000 0.5000  0.03
5 Ca 0.0000 0.5000 0.0000  0.07

Computed properties:
energy relative to the lowest polymorph listed for this composition: 0.000 eV/atom
final energy: -4.710 eV/atom
magnetic moment: 0.6461 μB per atom

---

Compound: CdTeRu2
Source: Alexandria via LeMat-Bulk
Functional: PBE
Structure: relaxed

a b c (Å): 6.1311 6.1311 6.1311
angles (deg): 150.34 139.41 51.08
Fractional coordinates of all 4 atoms:
1 Ru 0.9605 0.9605 0.0000
2 Te 0.5363 0.5363 0.0000
3 Ru 0.7225 0.2225 0.5000
4 Cd 0.2806 0.7806 0.5000

Computed properties:
energy relative to the lowest polymorph listed for this composition: 0.163 eV/atom
final energy: -5.242 eV/atom
magnetic moment: 0.0000 μB per atom
energy relative to the elements, uncorrected: 0.410 eV per atom

---

Compound: CeSi4Ir6
Source: Alexandria via LeMat-Bulk
Functional: PBE
Structure: relaxed

a b c (Å): 3.8660 7.0490 7.0490
angles (deg): 120.00 90.00 90.00
Each line ends with the local moment (μB).
Fractional coordinates of all 11 atoms:
1 Si 0.5000 0.8012 0.6023  0.00
2 Si 0.5000 0.8012 0.1988  0.00
3 Ir 0.0000 0.9350 0.4675  0.00
4 Ir 0.0000 0.5325 0.0650  0.00
5 Ir 0.5000 0.1977 0.3955  -0.01
6 Ce 0.0000 0.0000 0.0000  0.19
7 Si 0.0000 0.3333 0.6667  0.00
8 Ir 0.5000 0.6045 0.8023  -0.01
9 Ir 0.5000 0.1977 0.8023  -0.01
10 Ir 0.0000 0.5325 0.4675  0.00
11 Si 0.5000 0.3977 0.1988  0.00

Computed properties:
final energy: -8.194 eV/atom
magnetic moment: 0.0161 μB per atom
energy relative to the elements, uncorrected: -0.850 eV per atom

---

Compound: InBi
Source: Alexandria via LeMat-Bulk
Functional: PBE
Structure: relaxed

a b c (Å): 4.9915 4.9911 4.9722
angles (deg): 90.00 90.02 90.00
Fractional coordinates of all 4 atoms:
1 Bi 0.7501 0.7500 0.6096
2 In 0.7499 0.2500 0.0000
3 Bi 0.2499 0.2500 0.3904
4 In 0.2501 0.7500 0.0000

Computed properties:
formation energy from the elements: -0.004 eV per atom
final energy: -3.313 eV/atom
magnetic moment: 0.0000 μB per atom

---

Compound: CaMg2SeO
Source: Alexandria via LeMat-Bulk
Functional: PBE
Structure: relaxed

a b c (Å): 5.8384 4.0791 5.8384
angles (deg): 90.00 90.00 90.00
Fractional coordinates of all 5 atoms:
1 O 0.0000 0.5000 0.0000
2 Mg 0.5000 0.0000 0.0000
3 Ca 0.0000 0.0000 0.0000
4 Se 0.5000 0.5000 0.5000
5 Mg 0.0000 0.0000 0.5000

Computed properties:
final energy: -2.837 eV/atom
magnetic moment: 0.0000 μB per atom
energy relative to the elements, uncorrected: -0.111 eV per atom

---

Compound: YCrGa2Os
Source: Alexandria via LeMat-Bulk
Functional: PBE
Structure: relaxed

a b c (Å): 5.1902 4.8155 5.1902
angles (deg): 90.00 90.00 90.00
Each line ends with the local moment (μB).
Fractional coordinates of all 5 atoms:
1 Y 0.0000 0.0000 0.0000  -0.17
2 Ga 0.5000 0.0000 0.0000  -0.11
3 Os 0.5000 0.5000 0.5000  2.40
4 Ga 0.0000 0.0000 0.5000  -0.07
5 Cr 0.0000 0.5000 0.0000  3.29

Computed properties:
formation energy from the elements: 2.132 eV per atom
final energy: -4.542 eV/atom
magnetic moment: 1.1324 μB per atom